[1]
30
Lattice="7.031 0.000 0.000 -3.516 6.089 0.000 0.000 0.000 10.364" Properties=species:S:1:pos:R:3 comment="K2ZrSi3O9 (PBE, optimized geometry)" raw_formation_energy_mev_per_atom=-2807 total_energy_ev_per_atom=-7.582 magmom_total_mub_per_fu=0.000 n_ef_per_ev_cell=0.00 pbc="T T T"
Si 1.808 1.579 5.182
Si 4.760 0.777 5.182
Si -1.244 5.313 0.000
Si 3.979 3.734 5.182
Si 1.708 4.510 0.000
Si -0.464 2.355 0.000
O 1.083 2.962 0.000
O -0.754 1.561 8.984
O 4.269 4.528 3.802
O 3.107 0.543 5.182
O 0.975 1.433 3.802
O -1.787 5.962 1.379
O 5.303 0.128 6.561
O 2.541 4.656 8.984
O 2.541 4.656 1.379
O -1.491 3.670 0.000
O 0.975 1.433 6.561
O 5.303 0.128 3.802
O 5.007 2.419 5.182
O 0.409 5.545 0.000
O 2.432 3.126 5.182
O -0.754 1.561 1.379
O 4.269 4.528 6.561
O -1.787 5.962 8.984
K 0.000 4.059 3.181
K 3.516 2.030 8.364
K 0.000 4.059 7.182
K 3.516 2.030 2.000
Zr 0.000 0.000 2.590
Zr 0.000 0.000 7.773

=====

[2]
4
Lattice="3.682 0.000 0.000 1.841 3.189 0.000 1.841 1.063 10.234" Properties=species:S:1:pos:R:3 comment="KSm2O (PBE, optimized geometry)" raw_formation_energy_mev_per_atom=-1063 total_energy_ev_per_atom=-4.936 magmom_total_mub_per_fu=0.961 n_ef_per_ev_cell=3.39 pbc="T T T"
Sm 1.841 1.063 6.427
Sm 5.523 3.189 3.808
K 0.000 0.000 0.000
O 3.682 2.126 5.117

=====

[3]
16
Lattice="7.121 0.000 0.000 0.000 7.514 0.268 -3.561 -3.554 5.040" Properties=species:S:1:pos:R:3 comment="K4Sm3SnO8 (PBE, optimized geometry)" raw_formation_energy_mev_per_atom=-2320 total_energy_ev_per_atom=-6.209 magmom_total_mub_per_fu=0.000 n_ef_per_ev_cell=1.64 pbc="T T T"
Sm -1.780 1.980 2.654
Sm 1.780 1.980 2.654
Sm 3.561 3.757 0.134
K 3.561 0.000 0.000
K 1.780 -1.777 2.520
K -1.780 -1.777 2.520
K 0.000 0.000 0.000
O -1.800 1.766 5.032
O 0.000 0.418 2.810
O 1.800 1.766 5.032
O 3.561 0.398 2.824
O 0.000 3.562 2.485
O 1.761 2.194 0.276
O 3.561 3.542 2.498
O 5.360 2.194 0.276
Sn 0.000 3.757 0.134

=====

[4]
12
Lattice="-1.207 -3.101 -1.158 8.966 -1.875 -4.323 2.306 -3.149 6.028" Properties=species:S:1:pos:R:3 comment="KSmSnO3 (PBE, optimized geometry)" raw_formation_energy_mev_per_atom=-2193 total_energy_ev_per_atom=-6.308 magmom_total_mub_per_fu=0.000 n_ef_per_ev_cell=0.00 pbc="T T T"
K 2.911 -2.314 0.483
K 7.153 -5.811 0.065
Sm 4.519 -5.794 2.765
Sm 5.546 -2.331 -2.218
O 2.418 -4.714 2.063
O 7.646 -3.411 -1.515
O 4.035 -4.245 4.482
O 6.338 -4.372 2.422
O 6.030 -3.880 -3.935
O 3.727 -3.752 -1.875
Sn 2.320 -3.328 3.814
Sn 7.744 -4.797 -3.267